(1)
Computed, not measured: Ni2SnGe after structural relaxation at the PBE level of DFT.

The calculation puts the spin magnetization at 0.00 Bohr magnetons per cell. As for the formation energy: -254 meV/atom.

It has space group P2_1/c (No. 14), with a = 7.006 Å, b = 6.515 Å, c = 5.444 Å, α = 90.00°, β = 90.11° and γ = 90.00°. Symmetry generates all atoms from Ni at (0.086, 0.207, 0.002), Ni at (0.332, 0.727, 0.493), Sn at (0.378, 0.093, 0.271) and Ge at (0.122, 0.550, 0.201).

(2)
Computed, not measured: Ni2SnGe after structural relaxation at the PBE level of DFT.

The calculation puts the spin magnetization at 0.00 Bohr magnetons per cell. As for the formation energy: 87 meV/atom.

It has space group I-42d (No. 122), with a = 4.124 Å, b = 4.124 Å, c = 16.021 Å, α = 90.00°, β = 90.00° and γ = 90.00°. Symmetry generates all atoms from Ni at (0.200, 0.250, 0.125), Sn at (0.000, 0.000, 0.500) and Ge at (0.000, 0.000, 0.000).

(3)
Computed, not measured: Sr2Ni4SnGe3 after structural relaxation at the PBE level of DFT.

The calculation puts the spin magnetization at 0.00 Bohr magnetons per cell. As for the formation energy: -456 meV/atom.

It has space group P-4m2 (No. 115), with a = 4.287 Å, b = 4.287 Å, c = 10.081 Å, α = 90.00°, β = 90.00° and γ = 90.00°. Symmetry generates all atoms from Sr at (0.000, 0.500, 0.240), Ni at (0.000, 0.000, 0.000), Ni at (0.000, 0.500, 0.641), Ni at (0.500, 0.500, 0.000), Sn at (0.000, 0.000, 0.500), Ge at (0.000, 0.500, 0.886) and Ge at (0.500, 0.500, 0.500).

(4)
Computed, not measured: Tb3Ni9SnGe2 after structural relaxation at the PBE level of DFT.

The calculation puts the spin magnetization at 0.00 Bohr magnetons per cell. As for the formation energy: -187 meV/atom.

It has space group P-3m1 (No. 164), with a = 5.9529 Å, b = 5.9529 Å, c = 9.0202 Å, α = 90.00°, β = 90.00° and γ = 120.00°. Symmetry generates all atoms from Tb at (0.0000, 0.0000, 0.0000), Tb at (0.3333, 0.6667, 0.7266), Ni at (0.0000, 0.5000, 0.0000), Ni at (0.1344, 0.2687, 0.2677), Sn at (0.0000, 0.0000, 0.5000) and Ge at (0.3333, 0.6667, 0.1757).

(5)
Computed, not measured: TcNiSn2Ge after structural relaxation at the PBE level of DFT.

The calculation puts the spin magnetization at 2.77 Bohr magnetons per cell. As for the formation energy: 711 meV/atom.

It has space group P4/mmm (No. 123), with a = 4.999 Å, b = 4.999 Å, c = 4.357 Å, α = 90.00°, β = 90.00° and γ = 90.00°. Symmetry generates all atoms from Tc at (0.000, 0.000, 0.000), Ni at (0.500, 0.500, 0.500), Sn at (0.000, 0.500, 0.500) and Ge at (0.500, 0.500, 0.000).

(6)
Computed, not measured: Tm2Ni4SnGe3 after structural relaxation at the PBE level of DFT.

The calculation puts the spin magnetization at 0.00 Bohr magnetons per cell. As for the formation energy: -603 meV/atom.

It has space group P-4m2 (No. 115), with a = 4.100 Å, b = 4.100 Å, c = 9.925 Å, α = 90.00°, β = 90.00° and γ = 90.00°. Symmetry generates all atoms from Tm at (0.000, 0.500, 0.232), Ni at (0.000, 0.000, 0.000), Ni at (0.000, 0.500, 0.644), Ni at (0.500, 0.500, 0.000), Sn at (0.000, 0.000, 0.500), Ge at (0.000, 0.500, 0.876) and Ge at (0.500, 0.500, 0.500).